Entry 1:
# DyYRu

A relaxed structure of DyYRu (PBE, the Alexandria database).

Lattice parameters (Å, degrees): 6.9357 6.9357 6.9357 151.55 151.55 40.67
Positions (direct):
1 Dy 0.0000 0.0000 0.0000
2 Y 0.7462 0.7462 0.0000
3 Ru 0.3746 0.3746 0.0000

Results
- Formation energy from the elements: -327 meV/atom
- V: 75.5 Å³ per cell
- Total magnetization: 0.00 μB/atom

Entry 2:
# Te3Pb

A relaxed structure of Te3Pb (PBE, the Alexandria database).

Lattice parameters (Å, degrees): 5.5456 5.5456 3.9064 90.00 90.00 90.00
Positions (direct):
1 Te 0.0000 0.0000 0.0000
2 Te 0.0000 0.5000 0.5000
3 Te 0.5000 0.0000 0.5000
4 Pb 0.5000 0.5000 0.0000

Results
- Formation energy without anion corrections: 0.067 eV/atom
- V: 120.1 Å³ per cell
- Total magnetization: 0.00 μB/atom

Entry 3:
# Pm2Ho5Er2

A relaxed structure of Pm2Ho5Er2 (PBE, the Alexandria database).

Lattice parameters (Å, degrees): 7.9363 7.9363 7.9323 107.48 107.48 36.83
Positions (direct):
1 Pm 0.0555 0.0555 0.3318
2 Pm 0.9445 0.9445 0.6682
3 Ho 0.1672 0.1672 0.9993
4 Ho 0.2771 0.2771 0.6669
5 Ho 0.5000 0.5000 0.0000
6 Ho 0.7229 0.7229 0.3331
7 Ho 0.8328 0.8328 0.0007
8 Er 0.3878 0.3878 0.3325
9 Er 0.6122 0.6122 0.6675

Results
- Formation energy from the elements: 20 meV/atom
- V: 284.1 Å³ per cell
- Total magnetization: 0.00 μB/atom

Entry 4:
# CaIrSe2

A relaxed structure of CaIrSe2 (PBE, the Alexandria database).

Lattice parameters (Å, degrees): 3.3879 3.3879 6.9121 90.00 90.00 90.00
Positions (direct):
1 Ca 0.0000 0.0000 0.0000
2 Ir 0.0000 0.0000 0.5000
3 Se 0.5000 0.5000 0.2824
4 Se 0.5000 0.5000 0.7176

Results
- Formation energy without anion corrections: -0.149 eV/atom
- V: 79.3 Å³ per cell
- Total magnetization: 0.07 μB/atom

Entry 5:
# HgAsBr2

A relaxed structure of HgAsBr2 (PBE, the Alexandria database).

Lattice parameters (Å, degrees): 10.2312 10.2312 10.2312 20.35 20.35 20.35
Positions (direct):
1 Hg 0.0000 0.0000 0.0000
2 As 0.5000 0.5000 0.5000
3 Br 0.4171 0.4171 0.4171
4 Br 0.5829 0.5829 0.5829

Results
- Formation energy without anion corrections: 0.106 eV/atom
- V: 113.4 Å³ per cell
- Total magnetization: 0.00 μB/atom

Entry 6:
# Ce4As2PbSe

A relaxed structure of Ce4As2PbSe (PBE, the Alexandria database).

Lattice parameters (Å, degrees): 7.4426 4.2952 7.4912 90.00 109.30 90.00
Positions (direct):
1 Ce 0.2364 0.0000 0.2331
2 Ce 0.2470 0.5000 0.7620
3 Ce 0.7530 0.5000 0.2380
4 Ce 0.7636 0.0000 0.7669
5 As 0.0000 0.5000 0.0000
6 As 0.5000 0.0000 0.0000
7 Pb 0.5000 0.5000 0.5000
8 Se 0.0000 0.0000 0.5000

Results
- Formation energy without anion corrections: -1.233 eV/atom
- V: 226.0 Å³ per cell
- Total magnetization: 0.39 μB/atom

Entry 7:
# AsAuSe2

A relaxed structure of AsAuSe2 (PBE, the Alexandria database).

Lattice parameters (Å, degrees): 3.9567 3.9567 5.5682 90.00 90.00 90.00
Positions (direct):
1 As 0.0000 0.0000 0.0000
2 Au 0.5000 0.5000 0.4901
3 Se 0.0000 0.0000 0.4345
4 Se 0.5000 0.5000 0.9735

Results
- Formation energy without anion corrections: 0.026 eV/atom
- V: 87.2 Å³ per cell
- Total magnetization: 0.00 μB/atom

Entry 8:
# Ba5Al2Sn5

A relaxed structure of Ba5Al2Sn5 (PBE, the Alexandria database).

Lattice parameters (Å, degrees): 9.4267 9.4267 13.3752 123.89 123.89 27.22
Positions (direct):
1 Ba 0.0000 0.0000 0.0000
2 Ba 0.3113 0.3113 0.4141
3 Ba 0.3820 0.3820 0.1894
4 Ba 0.6180 0.6180 0.8106
5 Ba 0.6887 0.6887 0.5859
6 Al 0.3809 0.3809 0.7440
7 Al 0.6191 0.6191 0.2560
8 Sn 0.0000 0.0000 0.5000
9 Sn 0.0750 0.0750 0.3260
10 Sn 0.3040 0.3040 0.8683
11 Sn 0.6960 0.6960 0.1317
12 Sn 0.9250 0.9250 0.6740

Results
- Formation energy from the elements: -502 meV/atom
- V: 445.3 Å³ per cell
- Total magnetization: 0.00 μB/atom

Entry 9:
# CsRb4Au4

A relaxed structure of CsRb4Au4 (PBE, the Alexandria database).

Lattice parameters (Å, degrees): 10.9870 10.9870 6.9472 90.00 90.00 90.00
Positions (direct):
1 Cs 0.2500 0.2500 0.2500
2 Cs 0.7500 0.7500 0.7500
3 Rb 0.0811 0.6518 0.1337
4 Rb 0.1518 0.9189 0.6337
5 Rb 0.3482 0.5811 0.6337
6 Rb 0.4189 0.8482 0.1337
7 Rb 0.5811 0.1518 0.8663
8 Rb 0.6518 0.4189 0.3663
9 Rb 0.8482 0.0811 0.3663
10 Rb 0.9189 0.3482 0.8663
11 Au 0.0337 0.6029 0.6229
12 Au 0.1029 0.9663 0.1229
13 Au 0.3971 0.5337 0.1229
14 Au 0.4663 0.8971 0.6229
15 Au 0.5337 0.1029 0.3771
16 Au 0.6029 0.4663 0.8771
17 Au 0.8971 0.0337 0.8771
18 Au 0.9663 0.3971 0.3771

Results
- Formation energy from the elements: -251 meV/atom
- V: 838.6 Å³ per cell
- Total magnetization: 0.00 μB/atom

Entry 10:
# TaInNiRh

A relaxed structure of TaInNiRh (PBE, the Alexandria database).

Lattice parameters (Å, degrees): 4.4728 4.4728 4.4728 60.00 60.00 60.00
Positions (direct):
1 Ta 0.0000 0.0000 0.0000
2 In 0.5000 0.5000 0.5000
3 Ni 0.7500 0.7500 0.7500
4 Rh 0.2500 0.2500 0.2500

Results
- Formation energy from the elements: -258 meV/atom
- V: 63.3 Å³ per cell
- Total magnetization: 0.00 μB/atom

Entry 11:
# CsOsSe2

A relaxed structure of CsOsSe2 (PBE, the Alexandria database).

Lattice parameters (Å, degrees): 5.0370 5.0370 5.0370 60.00 60.00 60.00
Positions (direct):
1 Cs 0.0000 0.0000 0.0000
2 Os 0.5000 0.5000 0.5000
3 Se 0.2500 0.2500 0.2500
4 Se 0.7500 0.7500 0.7500

Results
- Formation energy without anion corrections: 0.956 eV/atom
- V: 90.4 Å³ per cell
- Total magnetization: 0.00 μB/atom

Entry 12:
# Rb2Pb6Au3

A relaxed structure of Rb2Pb6Au3 (PBE, the Alexandria database).

Lattice parameters (Å, degrees): 9.0049 9.0049 5.0656 90.00 90.00 120.00
Positions (direct):
1 Rb 0.3333 0.6667 0.0000
2 Rb 0.6667 0.3333 0.0000
3 Pb 0.0000 0.2070 0.0000
4 Pb 0.0000 0.6916 0.5000
5 Pb 0.2070 0.0000 0.0000
6 Pb 0.3084 0.3084 0.5000
7 Pb 0.6916 0.0000 0.5000
8 Pb 0.7930 0.7930 0.0000
9 Au 0.0000 0.3713 0.5000
10 Au 0.3713 0.0000 0.5000
11 Au 0.6287 0.6287 0.5000

Results
- Formation energy from the elements: -124 meV/atom
- V: 355.7 Å³ per cell
- Total magnetization: 0.00 μB/atom